# 1
This record from Alexandria describes a relaxed structure of Rb2Li3I5. The functional is PBE.

Values from the calculation:
As for the density: 3.4 Mg/m³. The crystal system is orthorhombic. The value obtained for the uncorrected formation energy is -1.27 eV per atom. For the uncorrected energy, the calculation gives -56.30 eV per cell.

Unit cell a=12.1233 b=12.1233 c=12.1233 alpha=132.80 beta=62.86 gamma=140.96
Fractional coordinates of all 20 atoms:
Rb1 0.1831 0.1837 0.3668
Rb2 0.3169 0.6837 0.0005
Rb3 0.6831 0.3163 0.9995
Rb4 0.8169 0.8163 0.6332
Li1 0.0916 0.5803 0.6719
Li2 0.2500 0.2500 0.0000
Li3 0.4084 0.0803 0.4888
Li4 0.5916 0.9197 0.5112
Li5 0.7500 0.7500 0.0000
Li6 0.9084 0.4197 0.3281
I1 0.0557 0.7500 0.3057
I2 0.0808 0.8760 0.9568
I3 0.2500 0.7500 0.5000
I4 0.4192 0.3760 0.7952
I5 0.4443 0.7500 0.6943
I6 0.5557 0.2500 0.3057
I7 0.5808 0.6240 0.2048
I8 0.7500 0.2500 0.5000
I9 0.9192 0.1240 0.0432
I10 0.9443 0.2500 0.6943



# 2
This record from Alexandria describes a relaxed structure of Al6CrGa. The functional is PBE.

Values from the calculation:
As for the density: 3.3 Mg/m³. The formation energy comes out at 150 meV per atom. The crystal system is monoclinic. For the uncorrected energy, the calculation gives -33.91 eV per cell.

Unit cell a=4.5972 b=4.5972 c=7.5474 alpha=105.36 beta=105.36 gamma=69.67
Fractional coordinates of all 8 atoms:
Al1 0.0593 0.5620 0.2050
Al2 0.1484 0.1484 0.4520
Al3 0.4380 0.9407 0.7950
Al4 0.5620 0.0593 0.2050
Al5 0.8516 0.8516 0.5480
Al6 0.9407 0.4380 0.7950
Cr1 0.5000 0.5000 0.5000
Ga1 0.0000 0.0000 0.0000



# 3
This record from Alexandria describes a relaxed structure of Cs3Y2Cl9. The functional is PBE.

Values from the calculation:
As for the density: 3.0 Mg/m³. The crystal system is trigonal. The value obtained for the uncorrected formation energy is -2.22 eV per atom. For the uncorrected energy, the calculation gives -126.32 eV per cell.

Unit cell a=9.9782 b=9.9782 c=9.9782 alpha=84.08 beta=84.08 gamma=84.08
Fractional coordinates of all 28 atoms:
Cs1 0.0892 0.7500 0.4108
Cs2 0.2500 0.5892 0.9108
Cs3 0.4108 0.0892 0.7500
Cs4 0.5892 0.9108 0.2500
Cs5 0.7500 0.4108 0.0892
Cs6 0.9108 0.2500 0.5892
Y1 0.1502 0.1502 0.1502
Y2 0.3498 0.3498 0.3498
Y3 0.6502 0.6502 0.6502
Y4 0.8498 0.8498 0.8498
Cl1 0.0784 0.9176 0.7346
Cl2 0.0824 0.2654 0.9216
Cl3 0.0994 0.4006 0.2500
Cl4 0.2346 0.4176 0.5784
Cl5 0.2500 0.0994 0.4006
Cl6 0.2654 0.9216 0.0824
Cl7 0.4006 0.2500 0.0994
Cl8 0.4176 0.5784 0.2346
Cl9 0.4216 0.7654 0.5824
Cl10 0.5784 0.2346 0.4176
Cl11 0.5824 0.4216 0.7654
Cl12 0.5994 0.7500 0.9006
Cl13 0.7346 0.0784 0.9176
Cl14 0.7500 0.9006 0.5994
Cl15 0.7654 0.5824 0.4216
Cl16 0.9006 0.5994 0.7500
Cl17 0.9176 0.7346 0.0784
Cl18 0.9216 0.0824 0.2654



# 4
This record from Alexandria describes a relaxed structure of KAcPb2O5. The functional is PBE.

Values from the calculation:
As for the density: 7.3 Mg/m³. The crystal system is tetragonal. The value obtained for the uncorrected formation energy is -1.73 eV per atom. For the uncorrected energy, the calculation gives -52.97 eV per cell.

Unit cell a=4.3041 b=4.3041 c=9.2903 alpha=90.00 beta=90.00 gamma=90.00
Fractional coordinates of all 9 atoms:
K1 0.0000 0.0000 0.0000
Ac1 0.0000 0.0000 0.5000
Pb1 0.5000 0.5000 0.2425
Pb2 0.5000 0.5000 0.7575
O1 0.0000 0.5000 0.3353
O2 0.0000 0.5000 0.6647
O3 0.5000 0.0000 0.3353
O4 0.5000 0.0000 0.6647
O5 0.5000 0.5000 0.0000



# 5
This record from Alexandria describes a relaxed structure of SrY2C. The functional is PBE.

Values from the calculation:
As for the density: 4.0 Mg/m³. The formation energy comes out at -71 meV per atom. The crystal system is trigonal. For the uncorrected energy, the calculation gives -24.12 eV per cell.

Unit cell a=10.2015 b=10.2015 c=10.2015 alpha=20.67 beta=20.67 gamma=20.67
Fractional coordinates of all 4 atoms:
Sr1 0.0000 0.0000 0.0000
Y1 0.1222 0.1222 0.1222
Y2 0.8778 0.8778 0.8778
C1 0.5000 0.5000 0.5000



# 6
This record from Alexandria describes a relaxed structure of NaTi3Zn. The functional is PBE.

Values from the calculation:
As for the density: 3.3 Mg/m³. The formation energy comes out at 910 meV per atom. The crystal system is cubic. For the uncorrected energy, the calculation gives -21.73 eV per cell.

Unit cell a=4.8785 b=4.8785 c=4.8785 alpha=90.00 beta=90.00 gamma=90.00
Fractional coordinates of all 5 atoms:
Na1 0.0000 0.0000 0.0000
Ti1 0.0000 0.5000 0.5000
Ti2 0.5000 0.0000 0.5000
Ti3 0.5000 0.5000 0.0000
Zn1 0.5000 0.5000 0.5000



# 7
This record from Alexandria describes a relaxed structure of PrScSi2Ru. The functional is PBE.

Values from the calculation:
As for the density: 6.0 Mg/m³. The crystal system is tetragonal. The value obtained for the uncorrected formation energy is -0.77 eV per atom. For the uncorrected energy, the calculation gives -35.09 eV per cell.

Unit cell a=6.3969 b=6.3969 c=6.3969 alpha=142.66 beta=142.66 gamma=53.84
Fractional coordinates of all 5 atoms:
Pr1 0.0000 0.0000 0.0000
Sc1 0.7500 0.2500 0.5000
Si1 0.3939 0.3939 0.0000
Si2 0.6061 0.6061 0.0000
Ru1 0.2500 0.7500 0.5000



# 8
This record from Alexandria describes a relaxed structure of TiZnHg. The functional is PBE.

Values from the calculation:
As for the density: 9.8 Mg/m³. The formation energy comes out at -4 meV per atom. The crystal system is hexagonal. For the uncorrected energy, the calculation gives -9.48 eV per cell.

Unit cell a=4.5131 b=4.5131 c=3.0112 alpha=90.00 beta=90.00 gamma=120.00
Fractional coordinates of all 3 atoms:
Ti1 0.0000 0.0000 0.0000
Zn1 0.3333 0.6667 0.5000
Hg1 0.6667 0.3333 0.5000



# 9
This record from Alexandria describes a relaxed structure of Tb2Pm3Er6Sc. The functional is PBE.

Values from the calculation:
As for the density: 8.0 Mg/m³. The formation energy comes out at 28 meV per atom. The crystal system is monoclinic. For the uncorrected energy, the calculation gives -56.88 eV per cell.

Unit cell a=6.1212 b=6.1212 c=11.6805 alpha=95.00 beta=95.00 gamma=119.98
Fractional coordinates of all 12 atoms:
Tb1 0.1664 0.8336 0.0000
Tb2 0.8336 0.1664 0.0000
Pm1 0.0000 0.0000 0.5000
Pm2 0.3336 0.6664 0.5000
Pm3 0.6664 0.3336 0.5000
Er1 0.0880 0.4188 0.7549
Er2 0.2504 0.2504 0.2454
Er3 0.4188 0.0880 0.7549
Er4 0.5812 0.9120 0.2451
Er5 0.7496 0.7496 0.7546
Er6 0.9120 0.5812 0.2451
Sc1 0.5000 0.5000 0.0000



# 10
This record from Alexandria describes a relaxed structure of Li4AsIr. The functional is PBE.

Values from the calculation:
As for the density: 6.5 Mg/m³. The formation energy comes out at -89 meV per atom. The crystal system is cubic. For the uncorrected energy, the calculation gives -21.70 eV per cell.

Unit cell a=4.7321 b=4.7321 c=4.7321 alpha=60.00 beta=60.00 gamma=60.00
Fractional coordinates of all 6 atoms:
Li1 0.3775 0.3775 0.3775
Li2 0.3775 0.3775 0.8676
Li3 0.3775 0.8676 0.3775
Li4 0.8676 0.3775 0.3775
As1 0.0000 0.0000 0.0000
Ir1 0.7500 0.7500 0.7500



# 11
This record from Alexandria describes a relaxed structure of MoPd5Pt. The functional is PBE.

Values from the calculation:
As for the density: 12.1 Mg/m³. The formation energy comes out at 85 meV per atom. The crystal system is monoclinic. For the uncorrected energy, the calculation gives -84.48 eV per cell.

Unit cell a=6.8002 b=6.8002 c=5.1000 alpha=101.47 beta=101.47 gamma=88.03
Fractional coordinates of all 14 atoms:
Mo1 0.0507 0.9493 0.7500
Mo2 0.9493 0.0507 0.2500
Pd1 0.1480 0.5644 0.6901
Pd2 0.1681 0.3058 0.0674
Pd3 0.2280 0.7720 0.2500
Pd4 0.3058 0.1681 0.5674
Pd5 0.4356 0.8520 0.8099
Pd6 0.5644 0.1480 0.1901
Pd7 0.6942 0.8319 0.4326
Pd8 0.7720 0.2280 0.7500
Pd9 0.8319 0.6942 0.9326
Pd10 0.8520 0.4356 0.3099
Pt1 0.5000 0.5000 0.0000
Pt2 0.5000 0.5000 0.5000



# 12
This record from Alexandria describes a relaxed structure of TaAg2Br. The functional is PBE.

Values from the calculation:
As for the density: 8.1 Mg/m³. The crystal system is orthorhombic. The value obtained for the uncorrected formation energy is 0.32 eV per atom. For the uncorrected energy, the calculation gives -17.94 eV per cell.

Unit cell a=7.5646 b=7.5646 c=7.5646 alpha=157.05 beta=144.50 gamma=42.70
Fractional coordinates of all 4 atoms:
Ta1 0.0000 0.0000 0.0000
Ag1 0.1767 0.6767 0.5000
Ag2 0.5590 0.5590 0.0000
Br1 0.8488 0.3488 0.5000



# 13
This record from Alexandria describes a relaxed structure of EuYZnAg. The functional is PBE.

Values from the calculation:
As for the density: 6.8 Mg/m³. The formation energy comes out at -270 meV per atom. The crystal system is cubic. For the uncorrected energy, the calculation gives -21.94 eV per cell.

Unit cell a=5.2201 b=5.2201 c=5.2201 alpha=60.00 beta=60.00 gamma=60.00
Fractional coordinates of all 4 atoms:
Eu1 0.0000 0.0000 0.0000
Y1 0.5000 0.5000 0.5000
Zn1 0.7500 0.7500 0.7500
Ag1 0.2500 0.2500 0.2500



# 14
This record from Alexandria describes a relaxed structure of TbZnHg. The functional is PBE.

Values from the calculation:
As for the density: 9.7 Mg/m³. The formation energy comes out at -242 meV per atom. The crystal system is cubic. For the uncorrected energy, the calculation gives -6.93 eV per cell.

Unit cell a=4.6810 b=4.6810 c=4.6810 alpha=60.00 beta=60.00 gamma=60.00
Fractional coordinates of all 3 atoms:
Tb1 0.0000 0.0000 0.0000
Zn1 0.2500 0.2500 0.2500
Hg1 0.5000 0.5000 0.5000



# 15
This record from Alexandria describes a relaxed structure of PrHgGe. The functional is PBE.

Values from the calculation:
As for the density: 9.0 Mg/m³. The formation energy comes out at -598 meV per atom. The crystal system is monoclinic. For the uncorrected energy, the calculation gives -22.99 eV per cell.

Unit cell a=8.8039 b=8.8039 c=4.1081 alpha=102.63 beta=102.63 gamma=29.65
Fractional coordinates of all 6 atoms:
Pr1 0.0984 0.0984 0.3389
Pr2 0.9016 0.9016 0.6611
Hg1 0.2807 0.2807 0.2214
Hg2 0.7193 0.7193 0.7786
Ge1 0.4506 0.4506 0.2075
Ge2 0.5494 0.5494 0.7925



# 16
This record from Alexandria describes a relaxed structure of Al2PtAu. The functional is PBE.

Values from the calculation:
As for the density: 10.6 Mg/m³. The formation energy comes out at -570 meV per atom. The crystal system is trigonal. For the uncorrected energy, the calculation gives -19.08 eV per cell.

Unit cell a=5.2788 b=5.2788 c=5.2788 alpha=46.18 beta=46.18 gamma=46.18
Fractional coordinates of all 4 atoms:
Al1 0.0000 0.0000 0.0000
Al2 0.2023 0.2023 0.2023
Pt1 0.6124 0.6124 0.6124
Au1 0.4173 0.4173 0.4173



# 17
This record from Alexandria describes a relaxed structure of HCl. The functional is PBE.

Values from the calculation:
As for the density: 1.3 Mg/m³. The crystal system is tetragonal. For the uncorrected energy, the calculation gives -6.18 eV per cell.

Unit cell a=4.0480 b=4.0480 c=4.0480 alpha=117.80 beta=117.80 gamma=93.85
Fractional coordinates of all 2 atoms:
H1 0.0000 0.0000 0.0000
Cl1 0.7668 0.7668 0.0000



# 18
This record from Alexandria describes a relaxed structure of K6Rb3Pb2. The functional is PBE.

Values from the calculation:
As for the density: 2.1 Mg/m³. The formation energy comes out at -11 meV per atom. The crystal system is tetragonal. For the uncorrected energy, the calculation gives -17.03 eV per cell.

Unit cell a=19.4361 b=19.4361 c=19.4361 alpha=161.74 beta=161.74 gamma=25.93
Fractional coordinates of all 11 atoms:
K1 0.0888 0.5888 0.5000
K2 0.1712 0.1712 0.0000
K3 0.4112 0.9112 0.5000
K4 0.5888 0.0888 0.5000
K5 0.8288 0.8288 0.0000
K6 0.9112 0.4112 0.5000
Rb1 0.2926 0.2926 0.0000
Rb2 0.5000 0.5000 0.0000
Rb3 0.7074 0.7074 0.0000
Pb1 0.0382 0.0382 0.0000
Pb2 0.9618 0.9618 0.0000



# 19
This record from Alexandria describes a relaxed structure of Li3Ca2InAg12. The functional is PBE.

Values from the calculation:
As for the density: 6.4 Mg/m³. The formation energy comes out at 5 meV per atom. The crystal system is trigonal. For the uncorrected energy, the calculation gives -46.60 eV per cell.

Unit cell a=10.9668 b=10.9668 c=10.9668 alpha=35.27 beta=35.27 gamma=35.27
Fractional coordinates of all 18 atoms:
Li1 0.0000 0.5000 0.5000
Li2 0.5000 0.0000 0.5000
Li3 0.5000 0.5000 0.0000
Ca1 0.1385 0.1385 0.1385
Ca2 0.8615 0.8615 0.8615
In1 0.5000 0.5000 0.5000
Ag1 0.0753 0.6204 0.6204
Ag2 0.0934 0.0934 0.6818
Ag3 0.0934 0.6818 0.0934
Ag4 0.3182 0.9066 0.9066
Ag5 0.3796 0.3796 0.9247
Ag6 0.3796 0.9247 0.3796
Ag7 0.6204 0.0753 0.6204
Ag8 0.6204 0.6204 0.0753
Ag9 0.6818 0.0934 0.0934
Ag10 0.9066 0.3182 0.9066
Ag11 0.9066 0.9066 0.3182
Ag12 0.9247 0.3796 0.3796



# 20
This record from Alexandria describes a relaxed structure of Eu2HoH. The functional is PBE.

Values from the calculation:
As for the density: 7.3 Mg/m³. The crystal system is tetragonal. For the uncorrected energy, the calculation gives -28.24 eV per cell.

Unit cell a=3.4223 b=3.4223 c=9.0986 alpha=90.00 beta=90.00 gamma=90.00
Fractional coordinates of all 4 atoms:
Eu1 0.0000 0.0000 0.1845
Eu2 0.0000 0.0000 0.8155
Ho1 0.5000 0.5000 0.5000
H1 0.5000 0.5000 0.0000



# 21
This record from Alexandria describes a relaxed structure of GaCu3Ni. The functional is PBE.

Values from the calculation:
As for the density: 8.5 Mg/m³. The formation energy comes out at -71 meV per atom. The crystal system is orthorhombic. For the uncorrected energy, the calculation gives -42.91 eV per cell.

Unit cell a=6.1941 b=6.1941 c=4.9965 alpha=90.00 beta=90.00 gamma=139.66
Fractional coordinates of all 10 atoms:
Ga1 0.1121 0.8879 0.7500
Ga2 0.8879 0.1121 0.2500
Cu1 0.3087 0.6913 0.5021
Cu2 0.3087 0.6913 0.9979
Cu3 0.4987 0.5013 0.7500
Cu4 0.5013 0.4987 0.2500
Cu5 0.6913 0.3087 0.0021
Cu6 0.6913 0.3087 0.4979
Ni1 0.1094 0.8906 0.2500
Ni2 0.8906 0.1094 0.7500



# 22
This record from Alexandria describes a relaxed structure of GaHg2PbO4. The functional is PBE.

Values from the calculation:
As for the density: 8.8 Mg/m³. The crystal system is orthorhombic. The value obtained for the uncorrected formation energy is -0.82 eV per atom. For the uncorrected energy, the calculation gives -33.72 eV per cell.

Unit cell a=6.4057 b=6.1948 c=5.2759 alpha=67.35 beta=63.18 gamma=49.47
Fractional coordinates of all 8 atoms:
Ga1 0.0000 0.0000 0.0000
Hg1 0.2433 0.2433 0.2567
Hg2 0.7433 0.7433 0.7567
Pb1 0.4795 0.4795 0.5205
O1 0.0921 0.6972 0.3028
O2 0.3277 0.8936 0.6723
O3 0.6972 0.0921 0.9079
O4 0.8936 0.3277 0.1064



# 23
This record from Alexandria describes a relaxed structure of AlAsPt2. The functional is PBE.

Values from the calculation:
As for the density: 12.7 Mg/m³. The formation energy comes out at -502 meV per atom. The crystal system is orthorhombic. For the uncorrected energy, the calculation gives -22.48 eV per cell.

Unit cell a=3.2649 b=4.6095 c=4.2909 alpha=90.00 beta=90.00 gamma=90.00
Fractional coordinates of all 4 atoms:
Al1 0.0000 0.0000 0.0000
As1 0.5000 0.5000 0.7818
Pt1 0.0000 0.5000 0.2547
Pt2 0.5000 0.0000 0.5219



# 24
This record from Alexandria describes a relaxed structure of Tb3SmEr6Tm2. The functional is PBE.

Values from the calculation:
As for the density: 8.8 Mg/m³. The formation energy comes out at 20 meV per atom. The crystal system is monoclinic. For the uncorrected energy, the calculation gives -54.69 eV per cell.

Unit cell a=6.1024 b=6.1024 c=11.6776 alpha=94.98 beta=94.98 gamma=119.95
Fractional coordinates of all 12 atoms:
Tb1 0.0000 0.0000 0.0000
Tb2 0.3331 0.6669 0.0000
Tb3 0.6669 0.3331 0.0000
Sm1 0.5000 0.5000 0.5000
Er1 0.0826 0.4165 0.2506
Er2 0.2494 0.2494 0.7493
Er3 0.4165 0.0826 0.2506
Er4 0.5835 0.9174 0.7494
Er5 0.7506 0.7506 0.2507
Er6 0.9174 0.5835 0.7494
Tm1 0.1667 0.8333 0.5000
Tm2 0.8333 0.1667 0.5000